[1]
VASP calculation (PBE) on an optimized crystal structure of ErZrSc3.

Output
For the density of states at the Fermi level, the calculation gives 6.8 states/eV/f.u. The space group is C2/m (12). For the energy of formation from the pure elements, the calculation gives 0.04 eV/atom. Its excess energy over the best structure of this formula in the dataset is 0 meV per atom. Its size of the total moment is 0.00 Bohr magnetons per cell.

POSCAR file:
```
ErZrSc3
1.0
8.425 -2.300 0.000
8.425 2.300 0.000
-1.301 0.000 6.494
Er Zr Sc
2 2 6
Direct
0.102 0.102 0.056 Er
0.898 0.898 0.944 Er
0.296 0.296 0.635 Zr
0.704 0.704 0.365 Zr
0.105 0.105 0.548 Sc
0.298 0.298 0.159 Sc
0.498 0.498 0.744 Sc
0.502 0.502 0.256 Sc
0.702 0.702 0.841 Sc
0.895 0.895 0.452 Sc
```



[2]
VASP calculation (PBE) on an optimized crystal structure of SrCoNi4.

Output
For the density of states at the Fermi level, the calculation gives 11.4 states/eV/f.u. The space group is F-43m (216). For the energy of formation from the pure elements, the calculation gives 0.27 eV/atom. Its size of the total moment is 3.90 Bohr magnetons per cell.

POSCAR file:
```
SrCoNi4
1.0
0.000 3.510 3.510
3.510 0.000 3.510
3.510 3.510 0.000
Sr Co Ni
1 1 4
Direct
0.000 0.000 0.000 Sr
0.750 0.750 0.750 Co
0.376 0.376 0.376 Ni
0.376 0.376 0.871 Ni
0.376 0.871 0.376 Ni
0.871 0.376 0.376 Ni
```



[3]
VASP calculation (PBE) on an optimized crystal structure of Ce2PuPdSe5.

Output
For the density of states at the Fermi level, the calculation gives 23.0 states/eV/f.u. The space group is Cmc2_1 (36). The energy comes out at -123.79 eV for the cell shown. Its size of the total moment is 12.54 Bohr magnetons per cell.

POSCAR file:
```
Ce2PuPdSe5
1.0
2.017 -8.636 0.000
2.017 8.636 0.000
0.000 0.000 12.480
Ce Pu Pd Se
4 2 2 10
Direct
0.107 0.893 0.500 Ce
0.123 0.877 0.848 Ce
0.877 0.123 0.348 Ce
0.893 0.107 0.000 Ce
0.177 0.823 0.175 Pu
0.823 0.177 0.675 Pu
0.447 0.553 0.569 Pd
0.553 0.447 0.069 Pd
0.011 0.989 0.174 Se
0.306 0.694 0.506 Se
0.308 0.692 0.841 Se
0.343 0.657 0.170 Se
0.498 0.502 0.887 Se
0.502 0.498 0.387 Se
0.657 0.343 0.670 Se
0.692 0.308 0.341 Se
0.694 0.306 0.006 Se
0.989 0.011 0.674 Se
```